Entry 1:
Below is crystalline Fe2AuSe at its relaxed geometry, with properties calculated at the PBE level.

Geometry as POSCAR:
```
Fe2AuSe
1.0
-2.441 1.206 1.390
-1.838 -1.714 -1.741
0.210 -5.036 4.737
Au Fe Se
1 2 1
direct
0.500 0.500 0.808
0.000 0.000 0.043
0.500 0.500 0.234
0.000 0.000 0.415
```

Results
For the uncorrected formation energy, the calculation gives 0.1248 eV per atom. For the volume, the calculation gives 64.65 Å³/f.u. The value obtained for the total energy is -5.80 eV/atom.

---

Entry 2:
Below is crystalline PuGa2Os at its relaxed geometry, with properties calculated at the PBE level.

Geometry as POSCAR:
```
PuGa2Os
1.0
3.962 -0.001 0.000
-1.983 4.748 0.000
0.000 0.000 7.952
Pu Ga Os
2 4 2
direct
0.933 0.868 0.250
0.067 0.132 0.750
0.353 0.708 0.545
0.647 0.292 0.455
0.353 0.708 0.955
0.647 0.292 0.045
0.783 0.567 0.750
0.217 0.433 0.250
```

Results
The excess energy over the best structure of this formula in the dataset comes out at 0 meV per atom. As for the formation energy: -277.3 meV/atom. For the volume, the calculation gives 74.78 Å³/f.u. The value obtained for the total energy is -8.18 eV/atom.

---

Entry 3:
Below is crystalline Cs2TmZn3F12 at its relaxed geometry, with properties calculated at the PBE level.

Geometry as POSCAR:
```
Cs2TmZn3F12
1.0
7.738 0.179 0.127
3.977 6.641 0.127
3.977 2.315 6.225
Cs Tm Zn F
2 1 3 12
direct
0.616 0.616 0.616
0.384 0.384 0.384
0.000 0.000 0.000
0.500 0.000 0.000
0.000 0.500 0.000
0.000 0.000 0.500
0.309 0.309 0.921
0.920 0.920 0.340
0.340 0.920 0.920
0.921 0.309 0.309
0.920 0.340 0.920
0.309 0.921 0.309
0.691 0.691 0.079
0.080 0.080 0.660
0.660 0.080 0.080
0.079 0.691 0.691
0.080 0.660 0.080
0.691 0.079 0.691
```

Results
For the uncorrected formation energy, the calculation gives -2.7618 eV per atom. For the volume, the calculation gives 311.12 Å³/f.u. The value obtained for the total energy is -4.56 eV/atom.

---

Entry 4:
Below is crystalline Ac2AlAu3 at its relaxed geometry, with properties calculated at the PBE level.

Geometry as POSCAR:
```
Ac2AlAu3
1.0
0.107 4.999 3.765
-6.122 0.114 -1.299
1.541 -7.407 5.249
Ac Al Au
4 2 6
direct
0.250 0.750 0.500
0.762 0.762 0.000
0.750 0.250 0.500
0.238 0.238 0.000
0.665 0.665 0.331
0.335 0.335 0.669
0.351 0.822 0.173
0.178 0.649 0.827
0.649 0.178 0.827
0.822 0.351 0.173
0.176 0.176 0.352
0.824 0.824 0.648
```

Results
As for the formation energy: -771.3 meV/atom. For the volume, the calculation gives 159.87 Å³/f.u. The value obtained for the total energy is -4.40 eV/atom.

---

Entry 5:
Below is crystalline OsPt4Se at its relaxed geometry, with properties calculated at the PBE level.

Geometry as POSCAR:
```
OsPt4Se
1.0
0.000 3.717 3.717
3.717 0.000 3.717
3.717 3.717 0.000
Os Pt Se
1 4 1
direct
0.000 0.000 0.000
0.625 0.625 0.124
0.625 0.124 0.625
0.625 0.625 0.625
0.124 0.625 0.625
0.250 0.250 0.250
```

Results
For the uncorrected formation energy, the calculation gives 0.7668 eV per atom. For the volume, the calculation gives 102.73 Å³/f.u. The value obtained for the total energy is -5.71 eV/atom.

---

Entry 6:
Below is crystalline ZrCrCuSe4 at its relaxed geometry, with properties calculated at the PBE level.

Geometry as POSCAR:
```
ZrCrCuSe4
1.0
-3.779 3.839 5.350
3.779 -3.839 5.350
3.779 3.839 -5.350
Zr Cr Cu Se
2 2 2 8
direct
0.500 0.500 0.500
0.500 0.000 0.000
0.500 0.500 0.000
0.000 0.500 0.500
0.872 0.122 0.750
0.128 0.878 0.250
0.759 0.259 0.500
0.258 0.259 0.000
0.752 0.273 0.021
0.752 0.731 0.479
0.241 0.741 0.500
0.742 0.741 0.000
0.248 0.727 0.979
0.248 0.269 0.521
```

Results
For the uncorrected formation energy, the calculation gives -0.7852 eV per atom. For the volume, the calculation gives 155.24 Å³/f.u. The value obtained for the total energy is -5.96 eV/atom.

---

Entry 7:
Below is crystalline LaBe2Tl at its relaxed geometry, with properties calculated at the PBE level.

Geometry as POSCAR:
```
LaBe2Tl
1.0
-2.708 -1.288 3.740
-4.206 -2.183 -0.725
-0.516 -4.637 1.102
Be Tl La
2 1 1
direct
0.250 0.250 0.250
0.750 0.750 0.750
0.500 0.500 0.500
0.000 0.000 0.000
```

Results
The excess energy over the best structure of this formula in the dataset comes out at 200 meV per atom. As for the formation energy: 264.1 meV/atom. For the volume, the calculation gives 77.91 Å³/f.u. The value obtained for the total energy is -3.42 eV/atom.

---

Entry 8:
Below is crystalline SbPb2S4 at its relaxed geometry, with properties calculated at the PBE level.

Geometry as POSCAR:
```
SbPb2S4
1.0
6.072 0.767 0.000
-2.306 5.669 0.000
0.000 0.000 10.010
Sb Pb S
2 4 8
direct
0.500 0.500 0.250
0.500 0.500 0.750
0.160 0.799 0.000
0.840 0.201 0.000
0.201 0.840 0.500
0.799 0.160 0.500
0.586 0.718 0.000
0.414 0.282 0.000
0.282 0.414 0.500
0.718 0.586 0.500
0.500 0.000 0.292
0.000 0.500 0.208
0.500 0.000 0.708
0.000 0.500 0.792
```

Results
For the uncorrected formation energy, the calculation gives -0.1150 eV per atom. The excess energy over the best structure of this formula in the dataset comes out at 142 meV per atom. For the volume, the calculation gives 181.13 Å³/f.u. The value obtained for the total energy is -4.12 eV/atom.

---

Entry 9:
Below is crystalline CaAc5Au6 at its relaxed geometry, with properties calculated at the PBE level.

Geometry as POSCAR:
```
CaAc5Au6
1.0
5.412 -0.347 0.887
-0.021 7.133 2.925
1.271 0.310 9.412
Ca Au Ac
1 6 5
direct
0.000 0.000 0.000
0.835 0.585 0.331
0.834 0.084 0.331
0.500 0.746 0.000
0.500 0.254 0.000
0.166 0.916 0.669
0.165 0.415 0.669
0.661 0.161 0.678
0.332 0.331 0.337
0.000 0.500 0.000
0.668 0.669 0.663
0.339 0.839 0.322
```

Results
As for the formation energy: -776.9 meV/atom. For the volume, the calculation gives 349.06 Å³/f.u. The value obtained for the total energy is -4.29 eV/atom.

---

Entry 10:
Below is crystalline YIr2Au at its relaxed geometry, with properties calculated at the PBE level.

Geometry as POSCAR:
```
YIr2Au
1.0
-4.100 -2.024 2.324
-1.495 -4.285 -2.389
4.552 1.581 1.757
Au Ir Y
1 2 1
direct
0.750 0.250 0.500
0.000 0.000 0.000
0.500 0.500 0.000
0.250 0.750 0.500
```

Results
The excess energy over the best structure of this formula in the dataset comes out at 163 meV per atom. As for the formation energy: -214.7 meV/atom. For the volume, the calculation gives 71.91 Å³/f.u. The value obtained for the total energy is -7.08 eV/atom.

---

Entry 11:
Below is crystalline Sr2Cu12Rh5 at its relaxed geometry, with properties calculated at the PBE level.

Geometry as POSCAR:
```
Sr2Cu12Rh5
1.0
6.643 0.136 0.707
0.650 6.613 0.707
0.147 0.136 6.679
Sr Cu Rh
2 12 5
direct
0.660 0.660 0.660
0.340 0.340 0.340
0.290 0.710 0.000
0.710 0.000 0.290
0.000 0.290 0.710
0.710 0.290 0.000
0.290 0.000 0.710
0.000 0.710 0.290
0.342 0.342 0.844
0.342 0.844 0.342
0.844 0.342 0.342
0.658 0.156 0.658
0.658 0.658 0.156
0.156 0.658 0.658
0.000 0.000 0.500
0.000 0.500 0.000
0.500 0.000 0.000
0.902 0.902 0.902
0.098 0.098 0.098
```

Results
As for the formation energy: -71.6 meV/atom. For the volume, the calculation gives 291.61 Å³/f.u. The value obtained for the total energy is -4.77 eV/atom.